No. 1
Crystalline SrNiCl2 at its relaxed geometry, computed with PBE.

Results
space group: No. 123
E: -3.446 eV/atom

Cell: 3.7269 3.7269 6.5899 Å, 90.00 90.00 90.00°
With the nearest neighbours (Å) after each atom.
Atoms (fractional coordinates):
Sr: 0.0000 0.0000 0.0000  8 Cl 3.08, 2 Ni 3.29
Ni: 0.0000 0.0000 0.5000  8 Cl 3.14, 2 Sr 3.29
Cl: 0.5000 0.5000 0.2413  4 Sr 3.08, 4 Ni 3.14, 2 Cl 3.18-3.41
Cl: 0.5000 0.5000 0.7587  4 Sr 3.08, 4 Ni 3.14, 2 Cl 3.18-3.41

***

No. 2
Crystalline TeOs2Se at its relaxed geometry, computed with PBE.

Results
space group: No. 25
E: -6.720 eV/atom

Cell: 3.0672 3.8986 6.7247 Å, 90.00 90.00 90.00°
With the nearest neighbours (Å) after each atom.
Atoms (fractional coordinates):
Te: 0.0000 0.0000 0.0000  5 Os 2.63-2.80
Os: 0.0000 0.0000 0.3910  1 Te 2.63, 4 Se 2.71, 4 Os 2.81
Os: 0.5000 0.5000 0.1940  1 Se 2.41
Se: 0.5000 0.5000 0.5519  1 Os 2.41

***

No. 3
Crystalline Sc6Fe2Rh at its relaxed geometry, computed with PBE.

Results
space group: No. 71
energy of formation: -0.302 eV/atom

Cell: 7.6273 7.6273 7.6273 Å, 111.56 108.60 108.27°
With the nearest neighbours (Å) after each atom.
Atoms (fractional coordinates):
Sc: 0.0222 0.2029 0.8193  3 Fe 2.55-2.68
Sc: 0.2545 0.3031 0.5576  2 Fe 2.70-2.84, 2 Rh 2.76-2.83
Sc: 0.2545 0.6969 0.9514  2 Fe 2.70-2.84, 2 Rh 2.76-2.83
Sc: 0.2636 0.5835 0.3199  1 Rh 2.82, 3 Fe 2.82-2.85, 1 Sc 3.09
Sc: 0.2636 0.9438 0.6801  1 Rh 2.82, 3 Fe 2.82-2.85, 1 Sc 3.09
Sc: 0.3836 0.2029 0.1807  3 Fe 2.55-2.68
Sc: 0.6164 0.7971 0.8193  3 Fe 2.55-2.68
Sc: 0.7364 0.0562 0.3199  1 Rh 2.82, 3 Fe 2.82-2.85, 1 Sc 3.09
Sc: 0.7364 0.4165 0.6801  1 Rh 2.82, 3 Fe 2.82-2.85, 1 Sc 3.09
Sc: 0.7455 0.3031 0.0486  2 Fe 2.70-2.84, 2 Rh 2.76-2.83
Sc: 0.7455 0.6969 0.4424  2 Fe 2.70-2.84, 2 Rh 2.76-2.83
Sc: 0.9778 0.7971 0.1807  3 Fe 2.55-2.68
Fe: 0.0000 0.1325 0.1325  1 Fe 2.27
Fe: 0.0000 0.8675 0.8675  1 Fe 2.27
Fe: 0.3822 0.0000 0.3822  1 Fe 2.10
Fe: 0.6178 0.0000 0.6178  1 Fe 2.10
Rh: 0.0000 0.5000 0.5000  8 Sc 2.82-2.83, 2 Fe 3.15
Rh: 0.5000 0.5000 0.0000  4 Sc 2.76

***

No. 4
Crystalline CuReNi2 at its relaxed geometry, computed with PBE.

Results
space group: No. 119
energy of formation: 0.222 eV/atom

Cell: 4.4484 4.4484 4.4484 Å, 131.49 131.49 71.03°
With the nearest neighbours (Å) after each atom.
Atoms (fractional coordinates):
Cu: 0.0000 0.0000 0.0000  4 Re 2.57, 8 Ni 2.57-2.58
Re: 0.7500 0.2500 0.5000  8 Ni 2.57-2.58, 4 Cu 2.57
Ni: 0.2500 0.7500 0.5000  4 Ni 2.57, 4 Cu 2.57, 4 Re 2.58
Ni: 0.5000 0.5000 0.0000  4 Re 2.57, 4 Ni 2.57, 4 Cu 2.58

***

No. 5
Crystalline La6ScSe8 at its relaxed geometry, computed with PBE.

Results
space group: No. 148
E: -6.123 eV/atom

Cell: 7.9654 7.9654 7.9654 Å, 67.63 67.63 67.63°
With the nearest neighbours (Å) after each atom.
Atoms (fractional coordinates):
La: 0.0310 0.4199 0.8009  7 Se 2.99-3.27
La: 0.1991 0.9690 0.5801  7 Se 2.99-3.27
La: 0.4199 0.8009 0.0310  7 Se 2.99-3.27
La: 0.5801 0.1991 0.9690  7 Se 2.99-3.27
La: 0.8009 0.0310 0.4199  7 Se 2.99-3.27
La: 0.9690 0.5801 0.1991  7 Se 2.99-3.27
Sc: 0.5000 0.5000 0.5000  6 Se 2.79
Se: 0.1567 0.6780 0.4082  1 Sc 2.79, 3 La 2.99-3.06
Se: 0.1705 0.1705 0.1705  6 La 3.09-3.20
Se: 0.3220 0.5918 0.8433  1 Sc 2.79, 3 La 2.99-3.06
Se: 0.4082 0.1567 0.6780  1 Sc 2.79, 3 La 2.99-3.06
Se: 0.5918 0.8433 0.3220  1 Sc 2.79, 3 La 2.99-3.06
Se: 0.6780 0.4082 0.1567  1 Sc 2.79, 3 La 2.99-3.06
Se: 0.8295 0.8295 0.8295  6 La 3.09-3.20
Se: 0.8433 0.3220 0.5918  1 Sc 2.79, 3 La 2.99-3.06

***

No. 6
Crystalline KRb2GeBr at its relaxed geometry, computed with PBE.

Results
space group: No. 123
E: -1.962 eV/atom

Cell: 7.0170 7.0170 5.8385 Å, 90.00 90.00 90.00°
With the nearest neighbours (Å) after each atom.
Atoms (fractional coordinates):
K: 0.0000 0.0000 0.0000  8 Rb 4.56, 4 Br 4.96
Rb: 0.0000 0.5000 0.5000  2 Ge 3.51
Rb: 0.5000 0.0000 0.5000  2 Ge 3.51
Ge: 0.5000 0.5000 0.5000  2 Br 2.92
Br: 0.5000 0.5000 0.0000  2 Ge 2.92

***

No. 7
Crystalline Hf2ScNbN4 at its relaxed geometry, computed with PBE.

Results
space group: No. 10
E: -10.346 eV/atom

Cell: 5.5009 3.1836 5.5441 Å, 90.00 109.44 90.00°
With the nearest neighbours (Å) after each atom.
Atoms (fractional coordinates):
Hf: 0.0000 0.0000 0.0000  6 N 2.24-2.25
Hf: 0.0000 0.5000 0.5000  6 N 2.22
Sc: 0.5000 0.0000 0.5000  6 N 2.26
Nb: 0.5000 0.5000 0.0000  6 N 2.28-2.29
N: 0.2430 0.0000 0.7439  3 Hf 2.22-2.25, 1 Sc 2.26, 2 Nb 2.28
N: 0.2434 0.5000 0.2515  3 Hf 2.22-2.24, 2 Sc 2.26, 1 Nb 2.29
N: 0.7570 0.0000 0.2561  3 Hf 2.22-2.25, 1 Sc 2.26, 2 Nb 2.28
N: 0.7566 0.5000 0.7485  3 Hf 2.22-2.24, 2 Sc 2.26, 1 Nb 2.29

***

No. 8
Crystalline LaIn2Br8 at its relaxed geometry, computed with PBE.

Results
space group: No. 12
E: -3.264 eV/atom

Cell: 8.5415 8.5415 7.2913 Å, 97.94 97.94 63.00°
With the nearest neighbours (Å) after each atom.
Atoms (fractional coordinates):
La: 0.0000 0.0000 0.0000  6 Br 2.98
In: 0.1920 0.1920 0.6473  4 Br 2.54-2.71
In: 0.8080 0.8080 0.3527  4 Br 2.54-2.71
Br: 0.1274 0.6933 0.2266  1 In 2.70, 1 La 2.98
Br: 0.1765 0.1765 0.2712  1 In 2.71, 1 La 2.98
Br: 0.3067 0.8726 0.7734  1 In 2.70, 1 La 2.98
Br: 0.3642 0.3642 0.7782  1 In 2.54
Br: 0.6358 0.6358 0.2218  1 In 2.54
Br: 0.6933 0.1274 0.2266  1 In 2.70, 1 La 2.98
Br: 0.8235 0.8235 0.7288  1 In 2.71, 1 La 2.98
Br: 0.8726 0.3067 0.7734  1 In 2.70, 1 La 2.98

***

Number 1: magnetization 0.662 μB/f.u.. Number 2: magnetization 0.000 μB/f.u.. Number 3: magnetization 0.846 μB/f.u.. Number 4: magnetization 0.000 μB/f.u.. Number 5: magnetization 0.001 μB/f.u.. Number 6: magnetization 1.444 μB/f.u.. Number 7: magnetization 0.000 μB/f.u.. Number 8: magnetization 0.000 μB/f.u..